*w*
Entry from the Alexandria database: an optimized crystal structure of ErNi4Ge2 (PBE).

a b c (Å): 7.5872 7.5872 7.5872
angles (deg): 30.81 30.81 30.81
Fractional coordinates of all 7 atoms:
Er1 0.0000 0.0000 0.0000
Ni1 0.1410 0.1410 0.1410
Ni2 0.4382 0.4382 0.4382
Ni3 0.5618 0.5618 0.5618
Ni4 0.8590 0.8590 0.8590
Ge1 0.2499 0.2499 0.2499
Ge2 0.7501 0.7501 0.7501

For the density of states at the Fermi level, the calculation gives 4.45 states/eV/cell. The density comes out at 8.9 g cm⁻³. Its space group is R-3m, No. 166. Its total magnetization is 0.00 μB/f.u.

=====

*x*
Entry from the Alexandria database: an optimized crystal structure of ErNi4Ge2 (PBE).

a b c (Å): 7.2712 7.2712 3.7489
angles (deg): 90.00 90.00 90.00
Fractional coordinates of all 14 atoms:
Er1 0.0000 0.0000 0.0000
Er2 0.5000 0.5000 0.5000
Ni1 0.0863 0.3437 0.5000
Ni2 0.1563 0.5863 0.0000
Ni3 0.3437 0.0863 0.5000
Ni4 0.4137 0.8437 0.0000
Ni5 0.5863 0.1563 0.0000
Ni6 0.6563 0.9137 0.5000
Ni7 0.8437 0.4137 0.0000
Ni8 0.9137 0.6563 0.5000
Ge1 0.2196 0.7804 0.5000
Ge2 0.2804 0.2804 0.0000
Ge3 0.7196 0.7196 0.0000
Ge4 0.7804 0.2196 0.5000

For the density of states at the Fermi level, the calculation gives 13.29 states/eV/cell. The density comes out at 9.2 g cm⁻³. Its space group is P4_2/mnm, No. 136. Its total magnetization is 0.00 μB/f.u.

=====

The energy of each structure relative to the most stable one, in eV/atom, is as follows: *w* 0.056; *x* 0.000.

=====

*w*
Entry from the Alexandria database: an optimized crystal structure of ErNpGe2 (PBE).

a b c (Å): 5.3839 5.3839 5.3839
angles (deg): 52.31 52.31 52.31
Fractional coordinates of all 4 atoms:
Er1 0.0000 0.0000 0.0000
Np1 0.5000 0.5000 0.5000
Ge1 0.2488 0.2488 0.2488
Ge2 0.7512 0.7512 0.7512

For the density of states at the Fermi level, the calculation gives 8.31 states/eV/cell. The density comes out at 10.1 g cm⁻³. Its space group is R-3m, No. 166. Its total magnetization is 4.02 μB/f.u.

=====

*x*
Entry from the Alexandria database: an optimized crystal structure of ErNpGe2 (PBE).

a b c (Å): 3.2772 3.2772 8.0607
angles (deg): 90.00 90.00 90.00
Fractional coordinates of all 4 atoms:
Er1 0.0000 0.0000 0.0000
Np1 0.0000 0.0000 0.5000
Ge1 0.5000 0.5000 0.2483
Ge2 0.5000 0.5000 0.7517

For the density of states at the Fermi level, the calculation gives 6.50 states/eV/cell. The density comes out at 10.5 g cm⁻³. Its space group is P4/mmm, No. 123. Its total magnetization is 4.23 μB/f.u.

=====

The energy of each structure relative to the most stable one, in eV/atom, is as follows: *w* 0.057; *x* 0.000.

=====

*w*
Entry from the Alexandria database: an optimized crystal structure of Er2GeO (PBE).

a b c (Å): 3.8370 4.2476 10.3264
angles (deg): 90.00 90.00 90.00
Fractional coordinates of all 8 atoms:
Er1 0.2500 0.2500 0.0935
Er2 0.2500 0.7500 0.3862
Er3 0.7500 0.2500 0.6138
Er4 0.7500 0.7500 0.9065
Ge1 0.2500 0.7500 0.6725
Ge2 0.7500 0.2500 0.3275
O1 0.2500 0.7500 0.0230
O2 0.7500 0.2500 0.9770

For the density of states at the Fermi level, the calculation gives 2.44 states/eV/cell. The density comes out at 8.4 g cm⁻³. Its space group is Pmmn, No. 59. Its total magnetization is 0.00 μB/f.u.

=====

*x*
Entry from the Alexandria database: an optimized crystal structure of Er2GeO (PBE).

a b c (Å): 7.3198 7.3198 7.3198
angles (deg): 35.27 35.27 35.27
Fractional coordinates of all 4 atoms:
Er1 0.0978 0.0978 0.0978
Er2 0.9022 0.9022 0.9022
Ge1 0.5000 0.5000 0.5000
O1 0.0000 0.0000 0.0000

The density comes out at 6.0 g cm⁻³. Its space group is R-3m, No. 166. Its total magnetization is 0.00 μB/f.u.

=====

The energy of each structure relative to the most stable one, in eV/atom, is as follows: *w* 0.000; *x* 0.376.

=====

*w*
Entry from the Alexandria database: an optimized crystal structure of ErPaGe2 (PBE).

a b c (Å): 3.3289 3.3289 7.8824
angles (deg): 90.00 90.00 90.00
Fractional coordinates of all 4 atoms:
Er1 0.0000 0.0000 0.0000
Pa1 0.0000 0.0000 0.5000
Ge1 0.5000 0.5000 0.2478
Ge2 0.5000 0.5000 0.7522

For the density of states at the Fermi level, the calculation gives 4.64 states/eV/cell. The density comes out at 10.3 g cm⁻³. Its space group is P4/mmm, No. 123. Its total magnetization is 0.00 μB/f.u.

=====

*x*
Entry from the Alexandria database: an optimized crystal structure of ErPaGe2 (PBE).

a b c (Å): 7.1575 7.1575 7.1575
angles (deg): 131.89 131.89 70.41
Fractional coordinates of all 8 atoms:
Er1 0.3750 0.6250 0.7500
Er2 0.6250 0.3750 0.2500
Pa1 0.1250 0.8750 0.2500
Pa2 0.8750 0.1250 0.7500
Ge1 0.1214 0.3714 0.7500
Ge2 0.3714 0.1214 0.2500
Ge3 0.6286 0.8786 0.7500
Ge4 0.8786 0.6286 0.2500

For the density of states at the Fermi level, the calculation gives 3.65 states/eV/cell. The density comes out at 9.1 g cm⁻³. Its space group is I4_1/amd, No. 141. Its total magnetization is 0.00 μB/f.u.

=====

The energy of each structure relative to the most stable one, in eV/atom, is as follows: *w* 0.138; *x* 0.000.